# 1
## DyTmAlIn (GGA-PBE)

Data for DyTmAlIn after structural relaxation.

The structure belongs to space group F-43m (No. 216); the cell edges are 7.3323, 7.3323 and 7.3323 Å and the angles 90.00°, 90.00° and 90.00°. The inequivalent atoms are Dy at (0.0000, 0.0000, 0.0000), Tm at (0.0000, 0.0000, 0.5000), Al at (0.2500, 0.2500, 0.7500) and In at (0.2500, 0.2500, 0.2500).

The formation energy is -0.399 eV/atom. The calculation puts the total energy at -68.603 eV for the cell shown. The calculation puts the excess energy over the best structure of this formula in the dataset at 13 meV per atom. The calculation puts the total magnetization at 0.000 Bohr magnetons per cell. Its crystal system is cubic.

# 2
## DyZrAlIn (GGA-PBE)

Data for DyZrAlIn after structural relaxation.

The structure belongs to space group F-43m (No. 216); the cell edges are 7.1577, 7.1577 and 7.1577 Å and the angles 90.00°, 90.00° and 90.00°. The inequivalent atoms are Dy at (0.0000, 0.0000, 0.0000), Zr at (0.0000, 0.0000, 0.5000), Al at (0.2500, 0.2500, 0.2500) and In at (0.2500, 0.2500, 0.7500).

The formation energy is -0.262 eV/atom. The calculation puts the total energy at -82.715 eV for the cell shown. The calculation puts the total magnetization at 0.006 Bohr magnetons per cell. Its crystal system is cubic.

# 3
## Dy2Al9Ir3 (GGA-PBE)

Data for Dy2Al9Ir3 after structural relaxation.

The structure belongs to space group C2/c (No. 15); the cell edges are 13.1374, 7.5458 and 10.4533 Å and the angles 90.00°, 114.75° and 90.00°. The inequivalent atoms are Dy at (0.1691, 0.0830, 0.2499), Al at (0.0000, 0.3703, 0.2500), Al at (0.0588, 0.0836, 0.9259), Al at (0.1011, 0.4156, 0.0546), Al at (0.1039, 0.3155, 0.7481), Al at (0.2251, 0.4168, 0.4283), Ir at (0.0860, 0.2422, 0.5007) and Ir at (0.2500, 0.2500, 0.0000).

The formation energy is -0.862 eV/atom. The calculation puts the total energy at -326.128 eV for the cell shown. The calculation puts the excess energy over the best structure of this formula in the dataset at 2 meV per atom. The calculation puts the total magnetization at 0.000 Bohr magnetons per cell. Its crystal system is monoclinic.

# 4
## Dy8AlIr2 (GGA-PBE)

Data for Dy8AlIr2 after structural relaxation.

The structure belongs to space group C2/m (No. 12); the cell edges are 8.7135, 13.1331 and 5.4215 Å and the angles 90.00°, 103.84° and 90.00°. The inequivalent atoms are Dy at (0.0000, 0.2446, 0.0000), Dy at (0.1192, 0.5000, 0.8045), Dy at (0.1974, 0.1289, 0.5765), Al at (0.0000, 0.0000, 0.0000) and Ir at (0.0000, 0.3112, 0.5000).

The formation energy is -0.387 eV/atom. The calculation puts the total energy at -125.077 eV for the cell shown. The calculation puts the total magnetization at 0.000 Bohr magnetons per cell. Its crystal system is monoclinic.

# 5
## Dy2Al9Ir3 (GGA-PBE)

Data for Dy2Al9Ir3 after structural relaxation.

The structure belongs to space group Cmcm (No. 63); the cell edges are 13.0461, 7.6035 and 9.4765 Å and the angles 90.00°, 90.00° and 90.00°. The inequivalent atoms are Dy at (0.1620, 0.1664, 0.2500), Al at (0.0000, 0.1291, 0.7500), Al at (0.0000, 0.3332, 0.0513), Al at (0.1046, 0.4444, 0.7500), Al at (0.1671, 0.1682, 0.5747), Ir at (0.0000, 0.0000, 0.0000) and Ir at (0.1720, 0.5000, 0.0000).

The formation energy is -0.864 eV/atom. The calculation puts the total energy at -326.254 eV for the cell shown. The calculation puts the excess energy over the best structure of this formula in the dataset at 0 meV per atom. The calculation puts the total magnetization at 0.000 Bohr magnetons per cell. Its crystal system is orthorhombic.

# 6
## DyAl2Ir2 (GGA-PBE)

Data for DyAl2Ir2 after structural relaxation.

The structure belongs to space group P4/nmm (No. 129, origin choice 2); the cell edges are 4.2270, 4.2270 and 10.1385 Å and the angles 90.00°, 90.00° and 90.00°. The inequivalent atoms are Dy at (0.2500, 0.2500, 0.2355), Al at (0.2500, 0.2500, 0.8763), Al at (0.2500, 0.7500, 0.5000), Ir at (0.2500, 0.2500, 0.6346) and Ir at (0.2500, 0.7500, 0.0000).

The formation energy is -0.901 eV/atom. The calculation puts the total energy at -68.625 eV for the cell shown. The calculation puts the excess energy over the best structure of this formula in the dataset at 0 meV per atom. The calculation puts the total magnetization at 0.000 Bohr magnetons per cell. Its crystal system is tetragonal.

# 7
## Dy4AlIr (GGA-PBE)

Data for Dy4AlIr after structural relaxation.

The structure belongs to space group C2/c (No. 15); the cell edges are 8.8225, 13.3210 and 5.9629 Å and the angles 90.00°, 113.81° and 90.00°. The inequivalent atoms are Dy at (0.1154, 0.1747, 0.0706), Dy at (0.2124, 0.4300, 0.3340), Al at (0.0000, 0.3729, 0.7500) and Ir at (0.0000, 0.0001, 0.2500).

The formation energy is -0.458 eV/atom. The calculation puts the total energy at -135.033 eV for the cell shown. The calculation puts the excess energy over the best structure of this formula in the dataset at 88 meV per atom. The calculation puts the total magnetization at 0.000 Bohr magnetons per cell. Its crystal system is monoclinic.

# 8
## Dy4Al16Ir3 (GGA-PBE)

Data for Dy4Al16Ir3 after structural relaxation.

The structure belongs to space group P4/mmm (No. 123); the cell edges are 6.1403, 6.1403 and 11.2621 Å and the angles 90.00°, 90.00° and 90.00°. The inequivalent atoms are Dy at (0.0000, 0.5000, 0.1921), Al at (0.0000, 0.0000, 0.1938), Al at (0.2159, 0.2159, 0.0000), Al at (0.2511, 0.2511, 0.3813), Al at (0.5000, 0.5000, 0.2209), Ir at (0.0000, 0.5000, 0.5000) and Ir at (0.5000, 0.5000, 0.0000).

The formation energy is -0.648 eV/atom. The calculation puts the total energy at -119.781 eV for the cell shown. The calculation puts the total magnetization at 0.000 Bohr magnetons per cell. Its crystal system is tetragonal.